[1]
This record from the Alexandria database describes Li3RhPb after structural relaxation. The functional is PBE.

Properties
ΔH_f (0 K) = -0.160 eV/atom
electronic total energy = -3.52 eV/atom
DOS(E_F) = 3.13 states/eV per cell
space group = No. 11
relative energy among the computed polymorphs = 0.000 eV/f.u.
spin magnetization = 0.000 μB per atom

a b c (Å): 4.534 7.452 5.412
angles (deg): 90.00 89.94 90.00
Positions (direct):
Li 0.248 0.934 0.176
Li 0.752 0.066 0.824
Li 0.248 0.566 0.176
Li 0.752 0.434 0.824
Li 0.247 0.750 0.751
Li 0.753 0.250 0.249
Rh 0.746 0.750 0.973
Rh 0.254 0.250 0.027
Pb 0.747 0.750 0.461
Pb 0.253 0.250 0.539

[2]
This record from the Alexandria database describes Li2RhPb2 after structural relaxation. The functional is PBE.

Properties
ΔH_f (0 K) = -0.037 eV/atom
electronic total energy = -3.76 eV/atom
DOS(E_F) = 4.78 states/eV per cell
space group = No. 127
relative energy among the computed polymorphs = 0.242 eV/f.u.
spin magnetization = 0.000 μB per atom

a b c (Å): 6.754 6.754 4.106
angles (deg): 90.00 90.00 90.00
Positions (direct):
Pb 0.178 0.678 0.500
Pb 0.678 0.822 0.500
Pb 0.822 0.322 0.500
Pb 0.322 0.178 0.500
Rh 0.000 0.000 0.000
Rh 0.500 0.500 0.000
Li 0.364 0.864 0.000
Li 0.864 0.636 0.000
Li 0.636 0.136 0.000
Li 0.136 0.364 0.000

[3]
This record from the Alexandria database describes LiRh3Pb3 after structural relaxation. The functional is PBE.

Properties
ΔH_f (0 K) = -0.032 eV/atom
electronic total energy = -5.05 eV/atom
DOS(E_F) = 5.43 states/eV per cell
space group = No. 160
spin magnetization = 0.000 μB per atom

a b c (Å): 5.670 5.644 5.670
angles (deg): 109.38 109.56 109.38
Positions (direct):
Li 0.000 0.503 0.000
Rh 0.500 0.504 0.000
Rh 0.500 0.004 0.500
Rh 0.000 0.504 0.500
Pb 0.500 0.004 0.000
Pb 0.500 0.504 0.500
Pb 0.000 0.004 0.500

[4]
This record from the Alexandria database describes LiRhPb2 after structural relaxation. The functional is PBE.

Properties
ΔH_f (0 K) = -0.119 eV/atom
electronic total energy = -4.29 eV/atom
DOS(E_F) = 2.48 states/eV per cell
space group = No. 160
spin magnetization = 0.000 μB per atom

a b c (Å): 4.457 4.457 5.960
angles (deg): 68.04 68.04 60.00
Positions (direct):
Li 0.493 0.493 0.520
Rh 0.672 0.672 0.984
Pb 0.068 0.068 0.796
Pb 0.267 0.267 0.199

[5]
This record from the Alexandria database describes LiRhPb2 after structural relaxation. The functional is PBE.

Properties
ΔH_f (0 K) = -0.113 eV/atom
electronic total energy = -4.28 eV/atom
DOS(E_F) = 2.46 states/eV per cell
space group = No. 6
spin magnetization = 0.000 μB per atom

a b c (Å): 4.435 3.625 5.444
angles (deg): 70.30 90.00 90.00
Positions (direct):
Pb 0.000 0.978 0.914
Pb 0.500 0.276 0.328
Rh 0.000 0.694 0.489
Li 0.500 0.552 0.770

[6]
This record from the Alexandria database describes LiRh2Pb after structural relaxation. The functional is PBE.

Properties
ΔH_f (0 K) = 0.092 eV/atom
electronic total energy = -4.99 eV/atom
DOS(E_F) = 4.70 states/eV per cell
space group = No. 99
spin magnetization = 0.357 μB per atom

a b c (Å): 3.050 3.050 7.615
angles (deg): 90.00 90.00 90.01
Last column: magnetic moment on the atom in μB.
Positions (direct):
Li 0.000 0.000 0.456  -0.01
Pb 0.500 0.500 0.769  0.02
Rh 0.000 0.000 0.034  0.74
Rh 0.500 0.500 0.241  0.66